# PBE Th2GaGe4Pt3, optimized geometry
# Crystal system: tetragonal
# Uncorrected energy, eV per atom: -6.26
# Calculated formation energy, eV per formula unit: -8.18
# Calculated density, g/cm3: 11.95
data_Th2GaGe4Pt3
_chemical_formula_sum 'Th2 Ga1 Ge4 Pt3'
_cell_length_a 4.417
_cell_length_b 4.417
_cell_length_c 10.038
_cell_angle_alpha 90.00
_cell_angle_beta 90.00
_cell_angle_gamma 90.00
_symmetry_space_group_name_H-M 'P -4 m 2'
_symmetry_Int_Tables_number 115
loop_
_symmetry_equiv_pos_as_xyz
'x,y,z'
'y,-x,-z'
'-x,-y,z'
'-y,x,-z'
'-x,y,z'
'-y,-x,-z'
'x,-y,z'
'y,x,-z'
loop_
_atom_site_label
_atom_site_fract_x
_atom_site_fract_y
_atom_site_fract_z
Th1 0.000 0.500 0.248
Ga1 0.000 0.000 0.500
Ge1 0.000 0.000 0.000
Ge2 0.000 0.500 0.632
Ge3 0.500 0.500 0.000
Pt1 0.000 0.500 0.876
Pt2 0.500 0.500 0.500

---

# PBE Th2Ga4GePt3, optimized geometry
# Crystal system: tetragonal
# Uncorrected energy, eV per atom: -5.83
# Calculated formation energy, eV per formula unit: -8.58
# Calculated density, g/cm3: 11.91
data_Th2Ga4GePt3
_chemical_formula_sum 'Th2 Ga4 Ge1 Pt3'
_cell_length_a 4.341
_cell_length_b 4.341
_cell_length_c 10.369
_cell_angle_alpha 90.00
_cell_angle_beta 90.00
_cell_angle_gamma 90.00
_symmetry_space_group_name_H-M 'P -4 m 2'
_symmetry_Int_Tables_number 115
loop_
_symmetry_equiv_pos_as_xyz
'x,y,z'
'y,-x,-z'
'-x,-y,z'
'-y,x,-z'
'-x,y,z'
'-y,-x,-z'
'x,-y,z'
'y,x,-z'
loop_
_atom_site_label
_atom_site_fract_x
_atom_site_fract_y
_atom_site_fract_z
Th1 0.000 0.500 0.246
Ga1 0.000 0.000 0.000
Ga2 0.000 0.500 0.635
Ga3 0.500 0.500 0.000
Ge1 0.000 0.000 0.500
Pt1 0.000 0.500 0.870
Pt2 0.500 0.500 0.500

---

# PBE Th2GaGe3Pt4, optimized geometry
# Crystal system: tetragonal
# Uncorrected energy, eV per atom: -6.54
# Calculated formation energy, eV per formula unit: -9.55
# Calculated density, g/cm3: 13.15
data_Th2GaGe3Pt4
_chemical_formula_sum 'Th2 Ga1 Ge3 Pt4'
_cell_length_a 4.374
_cell_length_b 4.374
_cell_length_c 10.112
_cell_angle_alpha 90.00
_cell_angle_beta 90.00
_cell_angle_gamma 90.00
_symmetry_space_group_name_H-M 'P -4 m 2'
_symmetry_Int_Tables_number 115
loop_
_symmetry_equiv_pos_as_xyz
'x,y,z'
'y,-x,-z'
'-x,-y,z'
'-y,x,-z'
'-x,y,z'
'-y,-x,-z'
'x,-y,z'
'y,x,-z'
loop_
_atom_site_label
_atom_site_fract_x
_atom_site_fract_y
_atom_site_fract_z
Th1 0.000 0.500 0.245
Ga1 0.000 0.000 0.500
Ge1 0.000 0.500 0.868
Ge2 0.500 0.500 0.500
Pt1 0.000 0.000 0.000
Pt2 0.000 0.500 0.626
Pt3 0.500 0.500 0.000

---

# PBE TmGaGePt3, optimized geometry
# Crystal system: orthorhombic
# Uncorrected energy, eV per atom: -5.76
# Calculated formation energy, eV per formula unit: -4.30
# Calculated density, g/cm3: 11.98
data_TmGaGePt3
_chemical_formula_sum 'Tm4 Ga4 Ge4 Pt12'
_cell_length_a 5.536
_cell_length_b 16.209
_cell_length_c 5.539
_cell_angle_alpha 90.00
_cell_angle_beta 90.00
_cell_angle_gamma 90.00
_symmetry_space_group_name_H-M 'C m c m'
_symmetry_Int_Tables_number 63
_symmetry_space_group_name_Hall '-C 2c 2'
loop_
_atom_site_label
_atom_site_fract_x
_atom_site_fract_y
_atom_site_fract_z
Tm1 0.000 0.189 0.250
Ga1 0.000 0.398 0.750
Ge1 0.000 0.096 0.750
Pt1 0.000 0.247 0.750
Pt2 0.248 0.500 0.000

---

Among the records above, which one has the lowest calculated formation energy?
Th2GaGe3Pt4